First-principles (PBE) data for a relaxed structure of Ca2TlHg9, as listed in Alexandria via LeMat-Bulk.

## Properties
Total magnetic moment in μB per atom: 0.00
Calculated total energy in eV per atom: -1.011
Energy relative to the elements in eV per atom: -0.25

Unit cell a=4.645 b=4.645 c=14.785 alpha=90.00 beta=90.00 gamma=90.00
Fractional positions:
Ca 0.000 0.000 0.334
Ca 0.000 0.000 0.666
Tl 0.000 0.000 0.000
Hg 0.500 0.500 0.000
Hg 0.500 0.500 0.347
Hg 0.500 0.500 0.653
Hg 0.500 0.000 0.176
Hg 0.500 0.000 0.500
Hg 0.500 0.000 0.824
Hg 0.000 0.500 0.176
Hg 0.000 0.500 0.500
Hg 0.000 0.500 0.824



First-principles (PBE) data for a relaxed structure of CaTl2Hg8, as listed in Alexandria via LeMat-Bulk.

## Properties
Total magnetic moment in μB per atom: 0.00
Energy relative to the lowest polymorph listed for this composition in meV/atom: 17
Calculated total energy in eV per atom: -0.961
Energy relative to the elements in eV per atom: -0.13

Unit cell a=5.405 b=6.169 c=9.482 alpha=93.17 beta=108.50 gamma=89.02
Fractional positions:
Ca 0.500 0.000 0.000
Tl 0.142 0.808 0.275
Tl 0.858 0.192 0.725
Hg 0.590 0.528 0.175
Hg 0.320 0.898 0.641
Hg 0.233 0.358 0.468
Hg 0.051 0.275 0.100
Hg 0.767 0.642 0.532
Hg 0.680 0.102 0.359
Hg 0.410 0.472 0.825
Hg 0.949 0.725 0.900



First-principles (PBE) data for a relaxed structure of CaTl6Hg2, as listed in Alexandria via LeMat-Bulk.

## Properties
Total magnetic moment in μB per atom: 0.00
Energy relative to the lowest polymorph listed for this composition in meV/atom: 39
Calculated total energy in eV per atom: -1.940
Energy relative to the elements in eV per atom: -0.07

Unit cell a=5.541 b=5.541 c=10.963 alpha=75.36 beta=75.36 gamma=60.00
Fractional positions:
Ca 0.000 0.000 0.000
Tl 0.585 0.585 0.245
Tl 0.799 0.799 0.602
Tl 0.694 0.694 0.919
Tl 0.201 0.201 0.398
Tl 0.415 0.415 0.755
Tl 0.306 0.306 0.081
Hg 0.898 0.898 0.306
Hg 0.102 0.102 0.694



First-principles (PBE) data for a relaxed structure of CaTlHg2, as listed in Alexandria via LeMat-Bulk.

## Properties
Total magnetic moment in μB per atom: 0.00
Calculated total energy in eV per atom: -1.497
Energy relative to the elements in eV per atom: -0.25

Unit cell a=3.885 b=4.056 c=6.930 alpha=90.00 beta=90.00 gamma=90.00
Fractional positions:
Tl 0.000 0.000 0.482
Ca 0.500 0.500 0.767
Hg 0.000 0.000 0.006
Hg 0.500 0.500 0.245



First-principles (PBE) data for a relaxed structure of Ca6TlHg5, as listed in Alexandria via LeMat-Bulk.

## Properties
Total magnetic moment in μB per atom: 0.00
Calculated total energy in eV per atom: -1.861
Energy relative to the elements in eV per atom: -0.54

Unit cell a=5.381 b=9.333 c=9.333 alpha=120.01 beta=106.76 gamma=106.76
Fractional positions:
Ca 0.252 0.084 0.420
Ca 0.748 0.580 0.916
Ca 0.754 0.255 0.255
Ca 0.246 0.745 0.745
Ca 0.252 0.420 0.084
Ca 0.748 0.916 0.580
Tl 0.000 0.000 0.000
Hg 0.500 0.164 0.836
Hg 0.000 0.335 0.665
Hg 0.500 0.500 0.500
Hg 0.000 0.665 0.335
Hg 0.500 0.836 0.164



First-principles (PBE) data for a relaxed structure of Ca3Tl2Hg7, as listed in Alexandria via LeMat-Bulk.

## Properties
Total magnetic moment in μB per atom: 0.00
Calculated total energy in eV per atom: -1.327
Energy relative to the elements in eV per atom: -0.26

Unit cell a=4.008 b=5.049 c=16.750 alpha=99.35 beta=90.00 gamma=90.00
Fractional positions:
Ca 0.500 0.500 0.000
Ca 0.000 0.172 0.373
Ca 0.000 0.828 0.627
Tl 0.500 0.614 0.283
Tl 0.500 0.386 0.717
Hg 0.500 0.728 0.460
Hg 0.500 0.272 0.540
Hg 0.000 0.548 0.141
Hg 0.000 0.000 0.000
Hg 0.000 0.452 0.859
Hg 0.500 0.941 0.830
Hg 0.500 0.059 0.170



First-principles (PBE) data for a relaxed structure of Ca2Tl2Hg3, as listed in Alexandria via LeMat-Bulk.

## Properties
Total magnetic moment in μB per atom: 0.00
Energy relative to the lowest polymorph listed for this composition in meV/atom: 0
Calculated total energy in eV per atom: -1.702
Energy relative to the elements in eV per atom: -0.32

Unit cell a=3.883 b=3.868 c=13.355 alpha=90.00 beta=81.64 gamma=90.00
Fractional positions:
Ca 0.570 0.500 0.860
Ca 0.430 0.500 0.140
Tl 0.702 0.500 0.596
Tl 0.298 0.500 0.404
Hg 0.865 0.000 0.270
Hg 0.000 0.000 0.000
Hg 0.135 0.000 0.730



First-principles (PBE) data for a relaxed structure of CaTlHg2, as listed in Alexandria via LeMat-Bulk.

## Properties
Total magnetic moment in μB per atom: 0.00
Calculated total energy in eV per atom: -1.452
Energy relative to the elements in eV per atom: -0.21

Unit cell a=8.459 b=8.459 c=6.844 alpha=51.83 beta=51.83 gamma=90.00
Fractional positions:
Tl 0.000 0.000 0.000
Tl 0.750 0.250 0.500
Ca 0.500 0.500 0.000
Ca 0.250 0.750 0.500
Hg 0.633 0.125 0.250
Hg 0.117 0.625 0.250
Hg 0.375 0.367 0.750
Hg 0.875 0.883 0.750



First-principles (PBE) data for a relaxed structure of Ca11Tl9Hg4, as listed in Alexandria via LeMat-Bulk.

## Properties
Total magnetic moment in μB per atom: 0.00
Calculated total energy in eV per atom: -2.293
Energy relative to the elements in eV per atom: -0.44

Unit cell a=3.909 b=13.878 c=13.878 alpha=112.50 beta=90.00 gamma=90.00
Fractional positions:
Ca 0.000 0.586 0.927
Ca 0.000 0.414 0.073
Ca 0.000 0.927 0.586
Ca 0.000 0.073 0.414
Ca 0.000 0.648 0.352
Ca 0.000 0.352 0.648
Ca 0.000 0.835 0.165
Ca 0.000 0.165 0.835
Ca 0.000 0.000 0.000
Ca 0.000 0.731 0.731
Ca 0.000 0.269 0.269
Tl 0.500 0.632 0.143
Tl 0.500 0.368 0.857
Tl 0.500 0.143 0.632
Tl 0.500 0.857 0.368
Tl 0.500 0.792 0.950
Tl 0.500 0.208 0.050
Tl 0.500 0.950 0.792
Tl 0.500 0.050 0.208
Tl 0.500 0.500 0.500
Hg 0.500 0.550 0.738
Hg 0.500 0.450 0.262
Hg 0.500 0.738 0.550
Hg 0.500 0.262 0.450



First-principles (PBE) data for a relaxed structure of CaTlHg4, as listed in Alexandria via LeMat-Bulk.

## Properties
Total magnetic moment in μB per atom: 0.00
Energy relative to the lowest polymorph listed for this composition in meV/atom: 0
Calculated total energy in eV per atom: -1.176
Energy relative to the elements in eV per atom: -0.25

Unit cell a=3.579 b=5.133 c=8.880 alpha=90.00 beta=90.00 gamma=89.99
Fractional positions:
Ca 0.999 0.997 0.498
Tl 0.999 0.497 0.998
Hg 0.499 0.997 0.167
Hg 0.498 0.997 0.829
Hg 0.499 0.497 0.663
Hg 0.499 0.497 0.333



First-principles (PBE) data for a relaxed structure of Ca2Tl3Hg4, as listed in Alexandria via LeMat-Bulk.

## Properties
Total magnetic moment in μB per atom: 0.00
Calculated total energy in eV per atom: -1.654
Energy relative to the elements in eV per atom: -0.29

Unit cell a=5.333 b=5.334 c=9.944 alpha=89.98 beta=90.00 gamma=119.99
Fractional positions:
Ca 0.333 0.666 0.217
Ca 0.667 0.334 0.783
Tl 0.334 0.667 0.572
Tl 0.000 0.000 0.000
Tl 0.666 0.333 0.428
Hg 0.666 0.333 0.108
Hg 0.000 0.001 0.666
Hg 0.000 0.999 0.334
Hg 0.334 0.667 0.892



First-principles (PBE) data for a relaxed structure of CaTl2Hg, as listed in Alexandria via LeMat-Bulk.

## Properties
Total magnetic moment in μB per atom: 0.00
Calculated total energy in eV per atom: -1.969
Energy relative to the elements in eV per atom: -0.21

Unit cell a=5.210 b=3.739 c=6.003 alpha=82.23 beta=90.00 gamma=90.00
Fractional positions:
Tl 0.000 0.940 0.988
Tl 0.000 0.560 0.512
Ca 0.500 0.250 0.250
Hg 0.500 0.750 0.750